# SrLa3Se

A relaxed SrLa3Se crystal (GGA-PBE, the Alexandria database). Values from VASP.

```
&SYSTEM
  ibrav = 0, nat = 5, ntyp = 3
/
ATOMIC_SPECIES
Sr 87.62 Sr.upf
La 138.91 La.upf
Se 78.96 Se.upf
ATOMIC_POSITIONS crystal
Sr 0.0000 0.0000 0.0000
La 0.0000 0.5000 0.5000
La 0.5000 0.0000 0.5000
La 0.5000 0.5000 0.0000
Se 0.5000 0.5000 0.5000
CELL_PARAMETERS angstrom
5.8616 0.0000 0.0000
0.0000 5.8616 0.0000
0.0000 0.0000 5.8616
```

Computed properties:
**Formation energy without anion corrections**: -0.6023 eV per atom
**E**: -4.59 eV per atom
**ρ**: 4.809 g/cm³
**Relative energy among the computed polymorphs**: 0.0 kJ per mole of atoms